Entry 1:
{"formula": "Na2RuCl", "functional": "PBE-GGA", "state": "optimized geometry", "sg": "Fm-3m", "polymorph_energy_mev_per_atom": 191.2, "magmom_total_mub_per_cell": 2.99, "lattice": [[-4.818, 0.349, 1.749], [-1.690, 4.416, 2.011], [-3.458, 2.824, -2.543]], "species": ["Ru", "Na", "Na", "Cl"], "frac_coords": [[0.500, 0.500, 0.500], [0.250, 0.250, 0.250], [0.750, 0.750, 0.750], [0.000, 0.000, 0.000]]}

Entry 2:
{"formula": "Na2RuCl5", "functional": "PBE-GGA", "state": "optimized geometry", "sg": "Cmcm", "polymorph_energy_mev_per_atom": 0.0, "magmom_total_mub_per_cell": 2.69, "lattice": [[-3.498, -0.604, -3.269], [1.090, -6.462, 3.589], [-8.805, 3.399, 8.794]], "species": ["Cl", "Cl", "Cl", "Ru", "Cl", "Na", "Cl", "Cl", "Cl", "Cl", "Cl", "Na", "Ru", "Na", "Na", "Cl"], "frac_coords": [[0.717, 0.435, 0.885], [0.717, 0.435, 0.615], [0.687, 0.373, 0.250], [0.163, 0.326, 0.250], [0.283, 0.565, 0.115], [0.146, 0.292, 0.562], [0.046, 0.092, 0.379], [0.954, 0.908, 0.879], [0.313, 0.627, 0.750], [0.283, 0.565, 0.385], [0.046, 0.092, 0.121], [0.854, 0.708, 0.438], [0.837, 0.674, 0.750], [0.854, 0.708, 0.062], [0.146, 0.292, 0.938], [0.954, 0.908, 0.621]]}

Entry 3:
{"formula": "NaRu2Cl8", "functional": "PBE-GGA", "state": "optimized geometry", "sg": "C2/m", "magmom_total_mub_per_cell": 3.64, "e_tot_ev_per_cell": -40.95, "lattice": [[4.960, 0.012, 0.015], [-0.010, 8.110, -4.562], [0.055, -1.051, 7.628]], "species": ["Cl", "Ru", "Cl", "Na", "Cl", "Ru", "Cl", "Cl", "Cl", "Cl", "Cl"], "frac_coords": [[0.254, 0.635, 0.777], [0.253, 0.385, 0.770], [0.254, 0.143, 0.777], [0.000, 0.000, 0.000], [0.746, 0.858, 0.223], [0.747, 0.615, 0.230], [0.754, 0.415, 0.831], [0.279, 0.197, 0.395], [0.721, 0.803, 0.605], [0.746, 0.365, 0.223], [0.246, 0.585, 0.169]]}

Entry 4:
{"formula": "NaRuCl3", "functional": "PBE-GGA", "state": "optimized geometry", "sg": "Pm-3m", "polymorph_energy_mev_per_atom": 0.0, "magmom_total_mub_per_cell": 1.52, "lattice": [[-4.551, 0.552, 1.656], [-1.503, -3.592, -2.932], [0.888, -3.248, 3.524]], "species": ["Cl", "Ru", "Cl", "Cl", "Na"], "frac_coords": [[0.000, 0.500, 0.000], [0.000, 0.000, 0.000], [0.500, 0.000, 0.000], [0.000, 0.000, 0.500], [0.500, 0.500, 0.500]]}

Entry 5:
{"formula": "Na2RuCl8", "functional": "PBE-GGA", "state": "optimized geometry", "sg": "C2/m", "polymorph_energy_mev_per_atom": 147.5, "magmom_total_mub_per_cell": 2.10, "lattice": [[4.847, 0.000, 0.000], [0.000, 6.848, -0.501], [-2.423, -3.668, 10.093]], "species": ["Cl", "Cl", "Cl", "Cl", "Cl", "Cl", "Cl", "Na", "Ru", "Cl", "Na"], "frac_coords": [[0.936, 0.026, 0.871], [0.605, 0.957, 0.210], [0.395, 0.043, 0.790], [0.064, 0.974, 0.129], [0.733, 0.704, 0.466], [0.559, 0.358, 0.118], [0.267, 0.296, 0.534], [0.198, 0.551, 0.396], [0.500, 0.000, 0.000], [0.441, 0.642, 0.882], [0.802, 0.449, 0.604]]}

Entry 6:
{"formula": "Na3RuCl", "functional": "PBE-GGA", "state": "optimized geometry", "sg": "Pm-3m", "polymorph_energy_mev_per_atom": 238.9, "magmom_total_mub_per_cell": 2.00, "lattice": [[5.681, 0.000, 0.000], [0.000, 5.681, 0.000], [0.000, 0.000, 5.681]], "species": ["Ru", "Na", "Cl", "Na", "Na"], "frac_coords": [[0.000, 0.000, 0.000], [0.000, 0.500, 0.000], [0.500, 0.500, 0.500], [0.000, 0.000, 0.500], [0.500, 0.000, 0.000]]}

Entry 7:
{"formula": "Na2RuCl8", "functional": "PBE-GGA", "state": "optimized geometry", "sg": "C2/m", "polymorph_energy_mev_per_atom": 0.0, "magmom_total_mub_per_cell": 4.05, "lattice": [[-3.530, -1.880, 5.255], [3.838, -5.645, 0.558], [7.010, 3.030, 1.643]], "species": ["Cl", "Cl", "Cl", "Cl", "Cl", "Ru", "Cl", "Cl", "Na", "Cl", "Na"], "frac_coords": [[0.165, 0.997, 0.330], [0.220, 0.250, 0.951], [0.269, 0.750, 0.049], [0.298, 0.619, 0.596], [0.835, 0.003, 0.670], [0.000, 0.000, 0.000], [0.702, 0.381, 0.404], [0.731, 0.250, 0.951], [0.851, 0.571, 0.701], [0.780, 0.750, 0.049], [0.149, 0.429, 0.299]]}

Entry 8:
{"formula": "Na2RuCl6", "functional": "PBE-GGA", "state": "optimized geometry", "sg": "P4_2/mnm", "polymorph_energy_mev_per_atom": 33.7, "magmom_total_mub_per_cell": 4.00, "lattice": [[6.275, 0.000, 0.000], [0.000, 6.275, 0.000], [0.000, 0.000, 11.986]], "species": ["Cl", "Na", "Cl", "Ru", "Na", "Cl", "Cl", "Cl", "Ru", "Cl", "Na", "Cl", "Cl", "Cl", "Cl", "Cl", "Na", "Cl"], "frac_coords": [[0.264, 0.264, 0.000], [0.000, 0.000, 0.332], [0.316, 0.316, 0.642], [0.500, 0.500, 0.500], [0.500, 0.500, 0.832], [0.684, 0.684, 0.642], [0.184, 0.816, 0.142], [0.316, 0.316, 0.358], [0.000, 0.000, 0.000], [0.736, 0.736, 0.000], [0.000, 0.000, 0.668], [0.684, 0.684, 0.358], [0.184, 0.816, 0.858], [0.816, 0.184, 0.858], [0.764, 0.236, 0.500], [0.236, 0.764, 0.500], [0.500, 0.500, 0.168], [0.816, 0.184, 0.142]]}